{
  "formula": "AcSm5In4",
  "functional": "PBE-GGA",
  "state": "relaxed",
  "lattice_angstrom": [[3.657, 0.000, 0.000], [0.000, 3.657, 0.000], [0.000, 0.000, 22.474]],
  "species": ["Ac", "Sm", "Sm", "Sm", "Sm", "Sm", "In", "In", "In", "In"],
  "fractional_positions": [[0.000, 0.000, 0.000], [0.500, 0.500, 0.124], [0.500, 0.500, 0.312], [0.500, 0.500, 0.500], [0.500, 0.500, 0.688], [0.500, 0.500, 0.876], [0.000, 0.000, 0.216], [0.000, 0.000, 0.405], [0.000, 0.000, 0.595], [0.000, 0.000, 0.784]],
  "formation_energy_ev_per_atom": -0.381,
  "dft_energy_ev_per_fu": -42.47,
  "dos_at_fermi_per_ev_atom": 0.671
}

{
  "formula": "CoRhBr6",
  "functional": "PBE-GGA",
  "state": "relaxed",
  "lattice_angstrom": [[3.233, -5.784, 0.000], [3.233, 5.784, 0.000], [-2.504, 0.000, 5.958]],
  "species": ["Co", "Rh", "Br", "Br", "Br", "Br", "Br", "Br"],
  "fractional_positions": [[0.000, 0.000, 0.000], [0.500, 0.500, 0.500], [0.093, 0.378, 0.238], [0.267, 0.267, 0.737], [0.378, 0.093, 0.238], [0.622, 0.907, 0.762], [0.733, 0.733, 0.263], [0.907, 0.622, 0.762]],
  "dft_energy_ev_per_fu": -26.26,
  "dos_at_fermi_per_ev_atom": 1.280,
  "e_form_raw_ev_per_atom": -0.221
}

{
  "formula": "La3HfP",
  "functional": "PBE-GGA",
  "state": "relaxed",
  "lattice_angstrom": [[5.578, 0.000, 0.000], [0.000, 5.578, 0.000], [0.000, 0.000, 5.578]],
  "species": ["La", "La", "La", "Hf", "P"],
  "fractional_positions": [[0.000, 0.000, 0.500], [0.000, 0.500, 0.000], [0.500, 0.000, 0.000], [0.500, 0.500, 0.500], [0.000, 0.000, 0.000]],
  "formation_energy_ev_per_atom": -0.101,
  "dft_energy_ev_per_fu": -30.65,
  "polymorph_energy_ev_per_atom": 0.000,
  "dos_at_fermi_per_ev_atom": 1.823
}

{
  "formula": "NaZrGa4",
  "functional": "PBE-GGA",
  "state": "relaxed",
  "lattice_angstrom": [[0.000, 3.811, 3.811], [3.811, 0.000, 3.811], [3.811, 3.811, 0.000]],
  "species": ["Na", "Zr", "Ga", "Ga", "Ga", "Ga"],
  "fractional_positions": [[0.000, 0.000, 0.000], [0.250, 0.250, 0.250], [0.126, 0.625, 0.625], [0.625, 0.126, 0.625], [0.625, 0.625, 0.126], [0.625, 0.625, 0.625]],
  "formation_energy_ev_per_atom": -0.161,
  "dft_energy_ev_per_fu": -22.94,
  "dos_at_fermi_per_ev_atom": 0.769
}

{
  "formula": "YHg2GePt",
  "functional": "PBE-GGA",
  "state": "relaxed",
  "lattice_angstrom": [[5.618, 0.000, 0.000], [0.000, 5.618, 0.000], [0.000, 0.000, 5.433]],
  "species": ["Y", "Hg", "Hg", "Ge", "Pt"],
  "fractional_positions": [[0.000, 0.000, 0.000], [0.000, 0.500, 0.000], [0.500, 0.000, 0.000], [0.000, 0.000, 0.500], [0.500, 0.500, 0.500]],
  "formation_energy_ev_per_atom": 1.074,
  "dft_energy_ev_per_fu": -12.36,
  "dos_at_fermi_per_ev_atom": 1.224
}